DFT (SCAN) results for a crystal of Na2TeSe relaxed with PBEsol.

It has space group Fm-3m (No. 225), with a = 7.293 Å, b = 7.293 Å, c = 7.293 Å, α = 90.00°, β = 90.00° and γ = 90.00°. The distinct sites, in fractional coordinates, are Na at (0.250, 0.250, 0.250), Te at (0.000, 0.000, 0.000) and Se at (0.000, 0.000, 0.500).

The uncorrected formation energy is -0.62 eV per atom.